# SmAsN2O | OQMD | PBE | relaxed
data_SmAsN2O
_cell_length_a 5.3788
_cell_length_b 7.9852
_cell_length_c 5.3359
_cell_angle_alpha 90.00
_cell_angle_beta 90.00
_cell_angle_gamma 90.00
_symmetry_space_group_name_H-M 'P n m a'
_symmetry_Int_Tables_number 62
loop_
_symmetry_equiv_pos_as_xyz
'x,y,z'
'-x,-y,-z'
'-x+1/2,-y,z+1/2'
'x+1/2,y,-z+1/2'
'x+1/2,-y+1/2,-z+1/2'
'-x+1/2,y+1/2,z+1/2'
'-x,y+1/2,-z'
'x,-y+1/2,z'
loop_
_atom_site_label
_atom_site_fract_x
_atom_site_fract_y
_atom_site_fract_z
Sm1 0.0494 0.2500 0.0135
As1 0.0000 0.0000 0.5000
N1 0.2060 0.5387 0.7931
O1 0.0042 0.7500 0.4248
# - Calculated volume: 229.2 Å³/cell
# - Total DFT energy (no corrections): -6.981 eV/atom